No. 1
Compound: SrTlPb
Source: Alexandria
Functional: PBE-GGA
Structure: optimized geometry

Geometry as CIF:
```
data_SrTlPb
_chemical_formula_sum 'Sr1 Tl1 Pb1'
_cell_length_a 5.369
_cell_length_b 5.369
_cell_length_c 4.031
_cell_angle_alpha 90.00
_cell_angle_beta 90.00
_cell_angle_gamma 120.00
_symmetry_space_group_name_H-M 'P 1'
_symmetry_Int_Tables_number 1
loop_
_symmetry_equiv_pos_as_xyz
'x,y,z'
loop_
_atom_site_label
_atom_site_type_symbol
_atom_site_fract_x
_atom_site_fract_y
_atom_site_fract_z
Pb1 Pb 0.000 0.000 0.946
Sr1 Sr 0.667 0.333 0.351
Tl1 Tl 0.333 0.667 0.703
```

Values from the calculation:
E above lowest polymorph: 0.000 eV/atom
Crystal system: trigonal
Space-group type: P3m1
E_tot: -2.94 eV per atom
V: 33.54 Å³ per atom



No. 2
Compound: Sr3Tl2Pb
Source: Alexandria
Functional: PBE-GGA
Structure: optimized geometry

Geometry as CIF:
```
data_Sr3Tl2Pb
_chemical_formula_sum 'Sr3 Tl2 Pb1'
_cell_length_a 4.011
_cell_length_b 5.873
_cell_length_c 9.326
_cell_angle_alpha 108.35
_cell_angle_beta 90.00
_cell_angle_gamma 90.00
_symmetry_space_group_name_H-M 'P 1'
_symmetry_Int_Tables_number 1
loop_
_symmetry_equiv_pos_as_xyz
'x,y,z'
loop_
_atom_site_label
_atom_site_type_symbol
_atom_site_fract_x
_atom_site_fract_y
_atom_site_fract_z
Sr1 Sr 0.500 0.500 0.000
Sr2 Sr 0.500 0.835 0.670
Sr3 Sr 0.500 0.165 0.330
Tl1 Tl 0.000 0.327 0.653
Tl2 Tl 0.000 0.673 0.347
Pb1 Pb 0.000 0.000 0.000
```

Values from the calculation:
E above lowest polymorph: 0.000 eV/atom
Crystal system: orthorhombic
Space-group type: Cmmm
E_tot: -2.71 eV per atom
V: 34.75 Å³ per atom



No. 3
Compound: SrTlPb2
Source: Alexandria
Functional: PBE-GGA
Structure: optimized geometry

Geometry as CIF:
```
data_SrTlPb2
_chemical_formula_sum 'Sr1 Tl1 Pb2'
_cell_length_a 7.976
_cell_length_b 6.044
_cell_length_c 3.775
_cell_angle_alpha 90.14
_cell_angle_beta 61.50
_cell_angle_gamma 120.72
_symmetry_space_group_name_H-M 'P 1'
_symmetry_Int_Tables_number 1
loop_
_symmetry_equiv_pos_as_xyz
'x,y,z'
loop_
_atom_site_label
_atom_site_type_symbol
_atom_site_fract_x
_atom_site_fract_y
_atom_site_fract_z
Pb1 Pb 0.000 0.000 0.000
Pb2 Pb 0.500 0.000 0.500
Sr1 Sr 0.000 0.500 0.500
Tl1 Tl 0.500 0.500 0.000
```

Values from the calculation:
Crystal system: monoclinic
Space-group type: C2/m
E_tot: -3.13 eV per atom
V: 32.57 Å³ per atom



No. 4
Compound: SrTlPb2
Source: Alexandria
Functional: PBE-GGA
Structure: optimized geometry

Geometry as CIF:
```
data_SrTlPb2
_chemical_formula_sum 'Sr1 Tl1 Pb2'
_cell_length_a 4.222
_cell_length_b 4.222
_cell_length_c 7.387
_cell_angle_alpha 90.00
_cell_angle_beta 90.00
_cell_angle_gamma 90.00
_symmetry_space_group_name_H-M 'P 1'
_symmetry_Int_Tables_number 1
loop_
_symmetry_equiv_pos_as_xyz
'x,y,z'
loop_
_atom_site_label
_atom_site_type_symbol
_atom_site_fract_x
_atom_site_fract_y
_atom_site_fract_z
Pb1 Pb 0.000 0.000 0.973
Pb2 Pb 0.000 0.000 0.527
Sr1 Sr 0.500 0.500 0.250
Tl1 Tl 0.500 0.500 0.750
```

Values from the calculation:
Crystal system: tetragonal
Space-group type: P4/mmm
E_tot: -3.09 eV per atom
V: 32.92 Å³ per atom



No. 5
Compound: SrTl8Pb6
Source: Alexandria
Functional: PBE-GGA
Structure: optimized geometry

Geometry as CIF:
```
data_SrTl8Pb6
_chemical_formula_sum 'Sr1 Tl8 Pb6'
_cell_length_a 9.519
_cell_length_b 9.519
_cell_length_c 8.400
_cell_angle_alpha 55.48
_cell_angle_beta 55.48
_cell_angle_gamma 60.00
_symmetry_space_group_name_H-M 'P 1'
_symmetry_Int_Tables_number 1
loop_
_symmetry_equiv_pos_as_xyz
'x,y,z'
loop_
_atom_site_label
_atom_site_type_symbol
_atom_site_fract_x
_atom_site_fract_y
_atom_site_fract_z
Sr1 Sr 0.000 0.000 0.000
Tl1 Tl 0.547 0.189 0.409
Tl2 Tl 0.811 0.146 0.591
Tl3 Tl 0.146 0.453 0.591
Tl4 Tl 0.786 0.786 0.643
Tl5 Tl 0.214 0.214 0.357
Tl6 Tl 0.854 0.547 0.409
Tl7 Tl 0.189 0.854 0.409
Tl8 Tl 0.453 0.811 0.591
Pb1 Pb 0.342 0.159 0.918
Pb2 Pb 0.841 0.420 0.082
Pb3 Pb 0.420 0.658 0.082
Pb4 Pb 0.580 0.342 0.918
Pb5 Pb 0.159 0.580 0.918
Pb6 Pb 0.658 0.841 0.082
```

Values from the calculation:
Crystal system: trigonal
Space-group type: R-3
E_tot: -2.87 eV per atom
V: 33.23 Å³ per atom



No. 6
Compound: SrTl14Pb
Source: Alexandria
Functional: PBE-GGA
Structure: optimized geometry

Geometry as CIF:
```
data_SrTl14Pb
_chemical_formula_sum 'Sr1 Tl14 Pb1'
_cell_length_a 7.079
_cell_length_b 7.079
_cell_length_c 11.377
_cell_angle_alpha 90.00
_cell_angle_beta 90.00
_cell_angle_gamma 119.45
_symmetry_space_group_name_H-M 'P 1'
_symmetry_Int_Tables_number 1
loop_
_symmetry_equiv_pos_as_xyz
'x,y,z'
loop_
_atom_site_label
_atom_site_type_symbol
_atom_site_fract_x
_atom_site_fract_y
_atom_site_fract_z
Sr1 Sr 0.548 0.452 0.500
Tl1 Tl 0.209 0.791 0.000
Tl2 Tl 0.703 0.297 0.000
Tl3 Tl 0.054 0.465 0.500
Tl4 Tl 0.199 0.292 0.000
Tl5 Tl 0.535 0.946 0.500
Tl6 Tl 0.708 0.801 0.000
Tl7 Tl 0.370 0.118 0.755
Tl8 Tl 0.370 0.118 0.245
Tl9 Tl 0.882 0.630 0.755
Tl10 Tl 0.882 0.630 0.245
Tl11 Tl 0.375 0.625 0.755
Tl12 Tl 0.375 0.625 0.245
Tl13 Tl 0.873 0.127 0.740
Tl14 Tl 0.873 0.127 0.260
Pb1 Pb 0.046 0.954 0.500
```

Values from the calculation:
Crystal system: orthorhombic
Space-group type: Amm2
E_tot: -2.46 eV per atom
V: 31.03 Å³ per atom



No. 7
Compound: SrTlPb2
Source: Alexandria
Functional: PBE-GGA
Structure: optimized geometry

Geometry as CIF:
```
data_SrTlPb2
_chemical_formula_sum 'Sr1 Tl1 Pb2'
_cell_length_a 5.698
_cell_length_b 3.605
_cell_length_c 6.422
_cell_angle_alpha 87.87
_cell_angle_beta 90.00
_cell_angle_gamma 90.00
_symmetry_space_group_name_H-M 'P 1'
_symmetry_Int_Tables_number 1
loop_
_symmetry_equiv_pos_as_xyz
'x,y,z'
loop_
_atom_site_label
_atom_site_type_symbol
_atom_site_fract_x
_atom_site_fract_y
_atom_site_fract_z
Pb1 Pb 0.000 0.861 0.002
Pb2 Pb 0.000 0.639 0.498
Sr1 Sr 0.500 0.250 0.250
Tl1 Tl 0.500 0.750 0.750
```

Values from the calculation:
Crystal system: monoclinic
Space-group type: P2/m
E_tot: -3.07 eV per atom
V: 32.96 Å³ per atom



No. 8
Compound: SrTl15Pb4
Source: Alexandria
Functional: PBE-GGA
Structure: optimized geometry

Geometry as CIF:
```
data_SrTl15Pb4
_chemical_formula_sum 'Sr1 Tl15 Pb4'
_cell_length_a 5.259
_cell_length_b 5.259
_cell_length_c 22.363
_cell_angle_alpha 90.00
_cell_angle_beta 90.00
_cell_angle_gamma 90.00
_symmetry_space_group_name_H-M 'P 1'
_symmetry_Int_Tables_number 1
loop_
_symmetry_equiv_pos_as_xyz
'x,y,z'
loop_
_atom_site_label
_atom_site_type_symbol
_atom_site_fract_x
_atom_site_fract_y
_atom_site_fract_z
Sr1 Sr 0.000 0.000 0.000
Tl1 Tl 0.500 0.500 0.000
Tl2 Tl 0.500 0.500 0.203
Tl3 Tl 0.500 0.500 0.399
Tl4 Tl 0.500 0.500 0.601
Tl5 Tl 0.500 0.500 0.797
Tl6 Tl 0.500 0.000 0.103
Tl7 Tl 0.500 0.000 0.300
Tl8 Tl 0.500 0.000 0.500
Tl9 Tl 0.500 0.000 0.700
Tl10 Tl 0.500 0.000 0.897
Tl11 Tl 0.000 0.500 0.103
Tl12 Tl 0.000 0.500 0.300
Tl13 Tl 0.000 0.500 0.500
Tl14 Tl 0.000 0.500 0.700
Tl15 Tl 0.000 0.500 0.897
Pb1 Pb 0.000 0.000 0.195
Pb2 Pb 0.000 0.000 0.400
Pb3 Pb 0.000 0.000 0.600
Pb4 Pb 0.000 0.000 0.805
```

Values from the calculation:
Crystal system: tetragonal
Space-group type: P4/mmm
E_tot: -2.65 eV per atom
V: 30.92 Å³ per atom



No. 9
Compound: SrTlPb2
Source: Alexandria
Functional: PBE-GGA
Structure: optimized geometry

Geometry as CIF:
```
data_SrTlPb2
_chemical_formula_sum 'Sr2 Tl2 Pb4'
_cell_length_a 4.883
_cell_length_b 4.883
_cell_length_c 12.273
_cell_angle_alpha 78.53
_cell_angle_beta 78.53
_cell_angle_gamma 90.00
_symmetry_space_group_name_H-M 'P 1'
_symmetry_Int_Tables_number 1
loop_
_symmetry_equiv_pos_as_xyz
'x,y,z'
loop_
_atom_site_label
_atom_site_type_symbol
_atom_site_fract_x
_atom_site_fract_y
_atom_site_fract_z
Pb1 Pb 0.648 0.125 0.250
Pb2 Pb 0.102 0.625 0.250
Pb3 Pb 0.375 0.352 0.750
Pb4 Pb 0.875 0.898 0.750
Sr1 Sr 0.500 0.500 0.000
Sr2 Sr 0.250 0.750 0.500
Tl1 Tl 0.000 0.000 0.000
Tl2 Tl 0.750 0.250 0.500
```

Values from the calculation:
Crystal system: tetragonal
Space-group type: I-42d
E_tot: -3.00 eV per atom
V: 35.10 Å³ per atom



No. 10
Compound: SrTlPb4
Source: Alexandria
Functional: PBE-GGA
Structure: optimized geometry

Geometry as CIF:
```
data_SrTlPb4
_chemical_formula_sum 'Sr2 Tl2 Pb8'
_cell_length_a 6.183
_cell_length_b 6.184
_cell_length_c 11.681
_cell_angle_alpha 109.59
_cell_angle_beta 109.64
_cell_angle_gamma 75.90
_symmetry_space_group_name_H-M 'P 1'
_symmetry_Int_Tables_number 1
loop_
_symmetry_equiv_pos_as_xyz
'x,y,z'
loop_
_atom_site_label
_atom_site_type_symbol
_atom_site_fract_x
_atom_site_fract_y
_atom_site_fract_z
Sr1 Sr 0.752 0.752 0.000
Sr2 Sr 0.248 0.248 0.000
Tl1 Tl 0.500 0.000 0.500
Tl2 Tl 0.000 0.500 0.500
Pb1 Pb 0.658 0.164 0.821
Pb2 Pb 0.836 0.342 0.179
Pb3 Pb 0.342 0.836 0.179
Pb4 Pb 0.164 0.658 0.821
Pb5 Pb 0.083 0.083 0.665
Pb6 Pb 0.415 0.415 0.335
Pb7 Pb 0.917 0.917 0.335
Pb8 Pb 0.585 0.585 0.665
```

Values from the calculation:
E above lowest polymorph: 0.032 eV/atom
Crystal system: monoclinic
Space-group type: C2/m
E_tot: -3.29 eV per atom
V: 32.66 Å³ per atom



No. 11
Compound: Sr3Tl2Pb
Source: Alexandria
Functional: PBE-GGA
Structure: optimized geometry

Geometry as CIF:
```
data_Sr3Tl2Pb
_chemical_formula_sum 'Sr3 Tl2 Pb1'
_cell_length_a 4.053
_cell_length_b 4.053
_cell_length_c 12.648
_cell_angle_alpha 90.00
_cell_angle_beta 90.00
_cell_angle_gamma 90.00
_symmetry_space_group_name_H-M 'P 1'
_symmetry_Int_Tables_number 1
loop_
_symmetry_equiv_pos_as_xyz
'x,y,z'
loop_
_atom_site_label
_atom_site_type_symbol
_atom_site_fract_x
_atom_site_fract_y
_atom_site_fract_z
Sr1 Sr 0.000 0.000 0.000
Sr2 Sr 0.000 0.000 0.672
Sr3 Sr 0.000 0.000 0.328
Tl1 Tl 0.500 0.500 0.843
Tl2 Tl 0.500 0.500 0.157
Pb1 Pb 0.500 0.500 0.500
```

Values from the calculation:
E above lowest polymorph: 0.005 eV/atom
Crystal system: tetragonal
Space-group type: P4/mmm
E_tot: -2.71 eV per atom
V: 34.63 Å³ per atom



No. 12
Compound: SrTl6Pb
Source: Alexandria
Functional: PBE-GGA
Structure: optimized geometry

Geometry as CIF:
```
data_SrTl6Pb
_chemical_formula_sum 'Sr1 Tl6 Pb1'
_cell_length_a 4.670
_cell_length_b 10.318
_cell_length_c 7.316
_cell_angle_alpha 134.84
_cell_angle_beta 90.00
_cell_angle_gamma 90.00
_symmetry_space_group_name_H-M 'P 1'
_symmetry_Int_Tables_number 1
loop_
_symmetry_equiv_pos_as_xyz
'x,y,z'
loop_
_atom_site_label
_atom_site_type_symbol
_atom_site_fract_x
_atom_site_fract_y
_atom_site_fract_z
Sr1 Sr 0.500 0.624 0.248
Tl1 Tl 0.000 0.882 0.246
Tl2 Tl 0.000 0.363 0.246
Tl3 Tl 0.000 0.366 0.732
Tl4 Tl 0.500 0.629 0.753
Tl5 Tl 0.500 0.124 0.753
Tl6 Tl 0.500 0.126 0.251
Pb1 Pb 0.000 0.886 0.772
```

Values from the calculation:
E above lowest polymorph: 0.000 eV/atom
Crystal system: orthorhombic
Space-group type: Amm2
E_tot: -2.57 eV per atom
V: 31.24 Å³ per atom



Result set for total magnetization: 0.00, 0.00, 0.00, 0.00, 0.00, 0.00, 0.00, 0.00, 0.00, 0.00, 0.00, 0.00 μB/f.u., one per record in the order listed.
Result set for formation enthalpy at 0 K: -0.350, -0.467, -0.259, -0.219, -0.008, -0.055, -0.202, -0.047, -0.129, -0.139, -0.462, -0.122 eV/atom, one per record in the order listed.